The following is a PBE calculation of CsAsOs2Ru after structural relaxation, from Alexandria.

Lattice parameters (Å, degrees): 4.7423 4.8310 4.7423 90.00 90.00 90.00
Each line ends with the local moment (μB).
Atoms (fractional coordinates):
Os  0.0000  0.0000  0.5000  0.90
Os  0.5000  0.0000  0.0000  0.67
As  0.0000  0.0000  0.0000  -0.04
Ru  0.0000  0.5000  0.0000  0.78
Cs  0.5000  0.5000  0.5000  0.05

* raw total energy: -0.211 hartree per atom
* SG: No. 123
* ΔE_f: 1.701 eV/atom
* spin magnetization: 2.5 μB per cell